First-principles (PBE) data for a relaxed structure of Ag2PbAuO4, as listed in Alexandria via LeMat-Bulk.

Properties
- Crystal system: tetragonal
- D(E_F): 3.1 states/eV/cell
- Symmetry: No. 82

Lattice parameters (Å, degrees): 5.4885 5.4885 5.4885 113.40 113.40 101.87
Closest atoms and distances in Å follow each position.
Element x y z (fractional)
Ag 0.0000 0.0000 0.0000  4 O 2.34
Ag 0.7500 0.2500 0.5000  4 O 2.39
Pb 0.2500 0.7500 0.5000  4 O 2.32
Au 0.5000 0.5000 0.0000  4 O 2.06
O 0.2101 0.3370 0.5339  1 Au 2.06
O 0.3237 0.7899 0.1268  1 Au 2.06
O 0.6630 0.1969 0.8732  1 Au 2.06
O 0.8031 0.6763 0.4661  1 Au 2.06

---

First-principles (PBE) data for a relaxed structure of Ag2PdAuO4, as listed in Alexandria via LeMat-Bulk.

Properties
- Crystal system: tetragonal
- D(E_F): 8.4 states/eV/cell
- Symmetry: No. 82

Lattice parameters (Å, degrees): 5.2343 5.2343 5.2343 112.30 112.30 103.94
Closest atoms and distances in Å follow each position.
Element x y z (fractional)
Ag 0.0000 0.0000 0.0000  4 O 2.37
Ag 0.7500 0.2500 0.5000  4 O 2.28
Pd 0.2500 0.7500 0.5000  4 O 2.03
Au 0.5000 0.5000 0.0000  4 O 2.23
O 0.1200 0.6011 0.0312  1 Pd 2.03, 1 Au 2.23
O 0.3989 0.4301 0.5189  1 Pd 2.03, 1 Au 2.23
O 0.5699 0.0888 0.9688  1 Pd 2.03, 1 Au 2.23
O 0.9112 0.8800 0.4811  1 Pd 2.03, 1 Au 2.23

---

First-principles (PBE) data for a relaxed structure of PmAgAuO4, as listed in Alexandria via LeMat-Bulk.

Properties
- Crystal system: orthorhombic
- D(E_F): 5.8 states/eV/cell
- Symmetry: No. 74

Lattice parameters (Å, degrees): 6.8343 6.8343 6.8343 125.36 112.00 92.67
Closest atoms and distances in Å follow each position.
Element x y z (fractional)
Pm 0.0000 0.0000 0.0000  6 O 2.40-2.43
Pm 0.5000 0.0000 0.5000  6 O 2.40-2.43
Ag 0.4608 0.7108 0.7500  4 O 2.22-2.36
Ag 0.5392 0.2892 0.2500  4 O 2.22-2.36
Au 0.0000 0.0000 0.5000  4 O 2.05
Au 0.0000 0.5000 0.0000  4 O 2.05
O 0.1679 0.2459 0.9221  2 Au 2.05
O 0.1762 0.7541 0.4221  2 Au 2.05
O 0.3300 0.2868 0.4568  2 Ag 2.22-2.36, 2 Pm 2.43
O 0.3300 0.8732 0.0432  2 Ag 2.22-2.36, 2 Pm 2.43
O 0.6700 0.1268 0.9568  2 Ag 2.22-2.36, 2 Pm 2.43
O 0.6700 0.7132 0.5432  2 Ag 2.22-2.36, 2 Pm 2.43
O 0.8238 0.2459 0.5779  2 Au 2.05
O 0.8321 0.7541 0.0779  2 Au 2.05

---

First-principles (PBE) data for a relaxed structure of PmAg2AuO4, as listed in Alexandria via LeMat-Bulk.

Properties
- Crystal system: tetragonal
- D(E_F): 5.9 states/eV/cell
- Symmetry: No. 121

Lattice parameters (Å, degrees): 5.3608 5.3608 5.3608 110.99 110.99 106.47
Closest atoms and distances in Å follow each position.
Element x y z (fractional)
Pm 0.0000 0.0000 0.0000  4 O 2.35
Ag 0.2500 0.7500 0.5000  4 O 2.19
Ag 0.7500 0.2500 0.5000  4 O 2.19
Au 0.5000 0.5000 0.0000  4 O 2.36
O 0.0476 0.4489 0.0000  2 Ag 2.19, 1 Pm 2.35, 1 Au 2.36
O 0.4489 0.0476 0.0000  2 Ag 2.19, 1 Pm 2.35, 1 Au 2.36
O 0.5511 0.5511 0.5988  2 Ag 2.19, 1 Pm 2.35, 1 Au 2.36
O 0.9524 0.9524 0.4012  2 Ag 2.19, 1 Pm 2.35, 1 Au 2.36

---

First-principles (PBE) data for a relaxed structure of Pm2Ag2AuO6, as listed in Alexandria via LeMat-Bulk.

Properties
- Crystal system: monoclinic
- D(E_F): 1.9 states/eV/cell
- Symmetry: No. 12

Lattice parameters (Å, degrees): 6.2115 6.2115 6.2918 93.34 93.34 122.07
Closest atoms and distances in Å follow each position.
Element x y z (fractional)
Pm 0.1608 0.8392 0.0000  6 O 2.33-2.41
Pm 0.8392 0.1608 0.0000  6 O 2.33-2.41
Ag 0.3471 0.6529 0.5000  2 O 2.08
Ag 0.6529 0.3471 0.5000  2 O 2.08
Au 0.5000 0.5000 0.0000  6 O 2.04-2.27
O 0.1804 0.1804 0.8467  1 Au 2.04
O 0.2101 0.5321 0.1786  1 Ag 2.08, 1 Au 2.27
O 0.4679 0.7899 0.8214  1 Ag 2.08, 1 Au 2.27
O 0.5321 0.2101 0.1786  1 Ag 2.08, 1 Au 2.27
O 0.7899 0.4679 0.8214  1 Ag 2.08, 1 Au 2.27
O 0.8196 0.8196 0.1533  1 Au 2.04

---

First-principles (PBE) data for a relaxed structure of Pr2AgAuO5, as listed in Alexandria via LeMat-Bulk.

Properties
- Crystal system: tetragonal
- Symmetry: No. 127

Lattice parameters (Å, degrees): 6.9209 6.9209 5.8886 90.00 90.00 90.00
Closest atoms and distances in Å follow each position.
Element x y z (fractional)
Pr 0.1773 0.3227 0.0000  8 O 2.34-2.61
Pr 0.3227 0.8227 0.0000  8 O 2.34-2.61
Pr 0.6773 0.1773 0.0000  8 O 2.34-2.61
Pr 0.8227 0.6773 0.0000  8 O 2.34-2.61
Ag 0.0000 0.0000 0.5000  10 O 2.94-3.09
Ag 0.5000 0.5000 0.5000  10 O 2.94-3.09
Au 0.0000 0.5000 0.5000  4 O 2.00
Au 0.5000 0.0000 0.5000  4 O 2.00
O 0.0000 0.0000 0.0000  4 Pr 2.55
O 0.1340 0.6340 0.2434  1 Au 2.00
O 0.1340 0.6340 0.7566  1 Au 2.00
O 0.3660 0.1340 0.2434  1 Au 2.00
O 0.3660 0.1340 0.7566  1 Au 2.00
O 0.5000 0.5000 0.0000  4 Pr 2.55
O 0.6340 0.8660 0.2434  1 Au 2.00
O 0.6340 0.8660 0.7566  1 Au 2.00
O 0.8660 0.3660 0.2434  1 Au 2.00
O 0.8660 0.3660 0.7566  1 Au 2.00

---

First-principles (PBE) data for a relaxed structure of AgPtAuO4, as listed in Alexandria via LeMat-Bulk.

Properties
- Crystal system: orthorhombic
- D(E_F): 7.3 states/eV/cell
- Symmetry: No. 74

Lattice parameters (Å, degrees): 6.8152 6.8152 6.8152 126.52 125.04 80.25
Closest atoms and distances in Å follow each position.
Element x y z (fractional)
Ag 0.4034 0.1534 0.2500  4 O 2.27-2.41
Ag 0.5966 0.8466 0.7500  4 O 2.27-2.41
Pt 0.0000 0.5000 0.5000  6 O 2.03-2.04
Pt 0.5000 0.5000 0.0000  6 O 2.03-2.04
Au 0.0000 0.0000 0.5000  4 O 2.11
Au 0.0000 0.5000 0.0000  4 O 2.11
O 0.1555 0.6938 0.4617  1 Pt 2.03, 2 Au 2.11
O 0.2667 0.3055 0.5388  2 Pt 2.04, 1 Ag 2.27
O 0.2667 0.7279 0.9612  2 Pt 2.04, 1 Ag 2.27
O 0.2680 0.3062 0.9617  1 Pt 2.03, 2 Au 2.11
O 0.7320 0.6938 0.0383  1 Pt 2.03, 2 Au 2.11
O 0.7333 0.2721 0.0388  2 Pt 2.04, 1 Ag 2.27
O 0.7333 0.6945 0.4612  2 Pt 2.04, 1 Ag 2.27
O 0.8445 0.3062 0.5383  1 Pt 2.03, 2 Au 2.11

---

First-principles (PBE) data for a relaxed structure of PuAgAu2O8, as listed in Alexandria via LeMat-Bulk.

Properties
- Crystal system: tetragonal
- D(E_F): 6.5 states/eV/cell
- Symmetry: No. 119

Lattice parameters (Å, degrees): 6.0461 6.0461 6.0461 113.01 113.01 102.60
Closest atoms and distances in Å follow each position.
Element x y z (fractional)
Pu 0.0000 0.0000 0.0000  4 O 1.93
Ag 0.2500 0.7500 0.5000  4 O 2.18
Au 0.5000 0.5000 0.0000  4 O 2.02
Au 0.7500 0.2500 0.5000  4 O 2.18
O 0.2821 0.1066 0.8246  1 Au 2.02, 1 Ag 2.18
O 0.2821 0.4575 0.1754  1 Au 2.02, 1 Ag 2.18
O 0.3182 0.0317 0.2865  1 Pu 1.93
O 0.5425 0.7179 0.8246  1 Au 2.02, 1 Ag 2.18
O 0.7452 0.0317 0.7135  1 Pu 1.93
O 0.8934 0.7179 0.1754  1 Au 2.02, 1 Ag 2.18
O 0.9683 0.2548 0.2865  1 Pu 1.93
O 0.9683 0.6818 0.7135  1 Pu 1.93

---

First-principles (PBE) data for a relaxed structure of Rb2AgAuO4, as listed in Alexandria via LeMat-Bulk.

Properties
- Crystal system: orthorhombic
- Symmetry: No. 70

Lattice parameters (Å, degrees): 12.2125 10.4258 7.6793 83.36 57.99 38.65
Closest atoms and distances in Å follow each position.
Element x y z (fractional)
Rb 0.0462 0.0462 0.7038  2 O 2.70
Rb 0.2962 0.2962 0.9538  2 O 2.70
Rb 0.7038 0.7038 0.0462  2 O 2.70
Rb 0.9538 0.9538 0.2962  2 O 2.70
Ag 0.1250 0.1250 0.1250  4 O 2.02
Ag 0.8750 0.8750 0.8750  4 O 2.02
Au 0.3750 0.3750 0.3750  4 O 2.04
Au 0.6250 0.6250 0.6250  4 O 2.04
O 0.0270 0.7214 0.5321  1 Ag 2.02, 1 Au 2.04
O 0.2195 0.5321 0.7214  1 Ag 2.02, 1 Au 2.04
O 0.2786 0.9730 0.7805  1 Ag 2.02, 1 Au 2.04
O 0.4679 0.7805 0.9730  1 Ag 2.02, 1 Au 2.04
O 0.5321 0.2195 0.0270  1 Ag 2.02, 1 Au 2.04
O 0.7214 0.0270 0.2195  1 Ag 2.02, 1 Au 2.04
O 0.7805 0.4679 0.2786  1 Ag 2.02, 1 Au 2.04
O 0.9730 0.2786 0.4679  1 Ag 2.02, 1 Au 2.04

---

First-principles (PBE) data for a relaxed structure of Rb8Ag2AuO, as listed in Alexandria via LeMat-Bulk.

Properties
- Crystal system: triclinic
- D(E_F): 5.4 states/eV/cell
- Symmetry: No. 2

Lattice parameters (Å, degrees): 8.0630 8.3666 9.3533 90.07 90.08 94.32
Closest atoms and distances in Å follow each position.
Element x y z (fractional)
Rb 0.1851 0.2335 0.9996  1 O 2.78
Rb 0.2146 0.6474 0.2079  1 O 2.82
Rb 0.2146 0.6481 0.7929  1 O 2.82
Rb 0.2795 0.1597 0.4999  1 Au 3.76, 2 Ag 3.98
Rb 0.7205 0.8403 0.5001  1 Au 3.76, 2 Ag 3.98
Rb 0.7854 0.3519 0.2071  1 O 2.82
Rb 0.7854 0.3526 0.7921  1 O 2.82
Rb 0.8149 0.7665 0.0004  1 O 2.78
Ag 0.4995 0.9997 0.1529  1 Ag 2.86
Ag 0.5005 0.0003 0.8471  1 Ag 2.86
Au 0.0000 0.5000 0.5000  6 Rb 3.42-3.76
O 0.0000 0.5000 0.0000  6 Rb 2.78-2.82

---

The following formation energy (no corrections) values (in kcal/mol of atoms) correspond, in order, to the records above: -5.97, 3.54, -25.07, -19.42, -32.97, -41.37, -4.61, -11.02, -14.30, -5.74.